# 1
PrAl2Hg | the Alexandria database | PBE-GGA | optimized geometry; total moment = 0.00 Bohr magnetons per cell; energy relative to the lowest polymorph listed for this composition = 0.045 eV/atom; DFT total energy = -3.438 eV/atom; SG = No. 123; calculated volume = 22.861 Å³ per atom
1.0
4.539 0.000 0.000
0.000 4.539 0.000
0.000 0.000 4.438
Pr Al Hg
1 2 1
direct
0.000 0.000 0.000
0.000 0.500 0.500
0.500 0.000 0.500
0.500 0.500 0.000



# 2
ZnGaB3 | the Alexandria database | PBE-GGA | optimized geometry; total moment = 0.00 Bohr magnetons per cell; energy relative to the lowest polymorph listed for this composition = 0.063 eV/atom; DFT total energy = -2.976 eV/atom; SG = No. 221; calculated volume = 14.454 Å³ per atom
1.0
4.165 0.000 0.000
0.000 4.165 0.000
0.000 0.000 4.165
Zn Ga B
1 1 3
direct
0.000 0.000 0.000
0.500 0.500 0.500
0.000 0.500 0.500
0.500 0.000 0.500
0.500 0.500 0.000



# 3
Sm2AgIr | the Alexandria database | PBE-GGA | optimized geometry; total moment = 0.00 Bohr magnetons per cell; energy relative to the lowest polymorph listed for this composition = 0.072 eV/atom; DFT total energy = -5.721 eV/atom; SG = No. 166; calculated volume = 27.197 Å³ per atom
1.0
4.153 0.000 0.000
-2.077 3.597 0.000
0.000 0.000 21.845
Sm Ag Ir
6 3 3
direct
0.000 0.000 0.236
0.000 0.000 0.764
0.333 0.667 0.431
0.333 0.667 0.902
0.667 0.333 0.098
0.667 0.333 0.569
0.000 0.000 0.000
0.333 0.667 0.667
0.667 0.333 0.333
0.000 0.000 0.500
0.333 0.667 0.167
0.667 0.333 0.833



# 4
Li4TaCl | the Alexandria database | PBE-GGA | optimized geometry; total moment = 2.83 Bohr magnetons per cell; DFT total energy = -3.002 eV/atom; SG = No. 216; calculated volume = 18.815 Å³ per atom
1.0
0.000 3.836 3.836
3.836 0.000 3.836
3.836 3.836 0.000
Li Ta Cl
4 1 1
direct
0.122 0.122 0.122
0.122 0.122 0.633
0.122 0.633 0.122
0.633 0.122 0.122
0.750 0.750 0.750
0.500 0.500 0.500